# HgHPd3

Crystalline HgHPd3 at its relaxed geometry (GGA-PBE, the Alexandria database).

The structure belongs to space group R-3c (No. 167, hexagonal axes); the cell edges are 7.1122, 7.1122 and 9.9357 Å and the angles 90.00°, 90.00° and 120.00°. The inequivalent atoms are Hg at (0.0000, 0.0000, 0.0000), H at (0.0000, 0.0000, 0.2500) and Pd at (0.0000, 0.2489, 0.2500).

The mass density is 11923 kg/m3. The value obtained for the magnetic moment is 0.00 μB per formula unit. The offset from the most stable computed form is 0.181 eV/atom. The value obtained for the density of states at the Fermi level is 11.00 states/eV/cell.

# HgH2Pd3

Crystalline HgH2Pd3 at its relaxed geometry (GGA-PBE, the Alexandria database).

The structure belongs to space group Imma (No. 74); the cell edges are 5.579, 9.402 and 5.703 Å and the angles 90.00°, 90.00° and 90.00°. The inequivalent atoms are Hg at (0.000, 0.250, 0.188), H at (0.000, 0.110, 0.652), Pd at (0.245, 0.000, 0.500) and Pd at (0.250, 0.250, 0.750).

The mass density is 11587 kg/m3. The value obtained for the magnetic moment is 0.00 μB per formula unit. The offset from the most stable computed form is 0.124 eV/atom. The value obtained for the density of states at the Fermi level is 6.82 states/eV/cell.

# HgH3Pd3

Crystalline HgH3Pd3 at its relaxed geometry (GGA-PBE, the Alexandria database).

The structure belongs to space group P-1 (No. 2); the cell edges are 3.017, 5.514 and 9.976 Å and the angles 99.76°, 98.67° and 105.28°. The inequivalent atoms are Hg at (0.104, 0.006, 0.202), H at (0.052, 0.494, 0.621), H at (0.285, 0.485, 0.092), H at (0.351, 0.150, 0.557), Pd at (0.171, 0.788, 0.548), Pd at (0.342, 0.717, 0.970) and Pd at (0.438, 0.583, 0.284).

The mass density is 11248 kg/m3. The value obtained for the magnetic moment is 0.00 μB per formula unit. The offset from the most stable computed form is 0.000 eV/atom. The value obtained for the density of states at the Fermi level is 3.84 states/eV/cell.

# HgH2Pd

Crystalline HgH2Pd at its relaxed geometry (GGA-PBE, the Alexandria database).

The structure belongs to space group I-42d (No. 122); the cell edges are 4.650, 4.650 and 8.931 Å and the angles 90.00°, 90.00° and 90.00°. The inequivalent atoms are Hg at (0.000, 0.000, 0.000), H at (0.148, 0.250, 0.625) and Pd at (0.000, 0.000, 0.500).

The mass density is 10629 kg/m3. The value obtained for the magnetic moment is 0.00 μB per formula unit. The offset from the most stable computed form is 0.148 eV/atom. The value obtained for the density of states at the Fermi level is 3.96 states/eV/cell.